Record 1
VASP calculation (PBE) on crystalline UZnCoH6 at its relaxed geometry. Values from VASP.

```
&SYSTEM
  ibrav = 0, nat = 9, ntyp = 4
/
ATOMIC_SPECIES
U 238.03 U.upf
Zn 65.41 Zn.upf
Co 58.93 Co.upf
H 1.01 H.upf
CELL_PARAMETERS angstrom
4.307 0.000 0.000
-2.153 3.730 0.000
0.000 0.000 4.317
ATOMIC_POSITIONS crystal
U 0.000 0.000 0.000
Zn 0.667 0.333 0.500
Co 0.333 0.667 0.500
H 0.030 0.515 0.218
H 0.030 0.515 0.782
H 0.485 0.515 0.218
H 0.485 0.515 0.782
H 0.485 0.970 0.218
H 0.485 0.970 0.782
```

Computed properties:
space group	P-6m2
E_tot	-0.3291	Ry per atom


Record 2
VASP calculation (PBE) on crystalline La3GaBrCl at its relaxed geometry. Values from VASP.

```
&SYSTEM
  ibrav = 0, nat = 12, ntyp = 4
/
ATOMIC_SPECIES
La 138.91 La.upf
Ga 69.72 Ga.upf
Br 79.90 Br.upf
Cl 35.45 Cl.upf
CELL_PARAMETERS angstrom
8.189 0.000 0.000
0.000 4.413 0.000
-3.313 0.000 10.036
ATOMIC_POSITIONS crystal
La 0.173 0.250 0.125
La 0.193 0.250 0.478
La 0.266 0.750 0.809
La 0.734 0.250 0.191
La 0.807 0.750 0.522
La 0.827 0.750 0.875
Ga 0.007 0.750 0.264
Ga 0.993 0.250 0.736
Br 0.438 0.750 0.115
Br 0.562 0.250 0.885
Cl 0.459 0.750 0.613
Cl 0.541 0.250 0.387
```

Computed properties:
formation energy without anion corrections	-1.161	eV/atom
space group	P2_1/m
E_tot	-0.3466	Ry per atom


Record 3
VASP calculation (PBE) on crystalline CsRbOsO6 at its relaxed geometry. Values from VASP.

```
&SYSTEM
  ibrav = 0, nat = 9, ntyp = 4
/
ATOMIC_SPECIES
Cs 132.91 Cs.upf
Rb 85.47 Rb.upf
Os 190.23 Os.upf
O 16.00 O.upf
CELL_PARAMETERS angstrom
5.524 0.000 0.000
0.951 5.999 0.000
0.722 2.215 5.833
ATOMIC_POSITIONS crystal
Cs 0.000 0.000 0.000
Rb 0.424 0.392 0.314
Os 0.646 0.685 0.683
O 0.363 0.594 0.832
O 0.392 0.821 0.439
O 0.498 0.942 0.224
O 0.721 0.977 0.612
O 0.807 0.544 0.942
O 0.819 0.529 0.515
```

Computed properties:
formation energy without anion corrections	-1.177	eV/atom
space group	P1
E_tot	-0.4360	Ry per atom